## CuSnSe3 (PBE)

Data for an optimized crystal structure of CuSnSe3.

Lattice parameters (Å, degrees): 4.8560 4.8560 4.8560 90.00 90.00 90.00
Last column: nearest neighbours and their distance in Å.
Element x y z (fractional)
Cu 0.0000 0.0000 0.0000  6 Se 2.43
Sn 0.5000 0.5000 0.5000  12 Se 3.43
Se 0.0000 0.0000 0.5000  2 Cu 2.43
Se 0.0000 0.5000 0.0000  2 Cu 2.43
Se 0.5000 0.0000 0.0000  2 Cu 2.43

Properties
total moment	0.000	μB per formula unit
V	114.5	Å³/cell
energy relative to the lowest polymorph listed for this composition	330.0	meV per atom
ΔE_f (raw)	0.7	eV/f.u.
electronic total energy	-17.879	eV/cell
space group	Pm-3m (221)

***

## FeH2Ru2 (PBE)

Data for an optimized crystal structure of FeH2Ru2.

Lattice parameters (Å, degrees): 5.8593 5.8593 5.8593 151.45 151.45 40.82
Last column: nearest neighbours and their distance in Å.
Element x y z (fractional)
Fe 0.0000 0.0000 0.0000  8 Ru 2.57
H 0.2500 0.7500 0.5000  4 Ru 1.87, 4 H 2.04
H 0.7500 0.2500 0.5000  4 Ru 1.87, 4 H 2.04
Ru 0.3586 0.3586 0.0000  4 H 1.87
Ru 0.6414 0.6414 0.0000  4 H 1.87

Properties
total moment	2.579	μB per formula unit
V	45.9	Å³/cell
energy relative to the lowest polymorph listed for this composition	0.0	meV per atom
electronic total energy	-32.855	eV/cell
space group	I4/mmm (139)

***

## TbCeErSc (PBE)

Data for an optimized crystal structure of TbCeErSc.

Lattice parameters (Å, degrees): 5.5114 5.5114 5.5114 60.00 60.00 60.00
Last column: nearest neighbours and their distance in Å.
Element x y z (fractional)
Tb 0.0000 0.0000 0.0000  4 Er 3.38, 4 Sc 3.38
Ce 0.5000 0.5000 0.5000  4 Er 3.38, 4 Sc 3.38
Er 0.7500 0.7500 0.7500  4 Ce 3.38, 4 Tb 3.38
Sc 0.2500 0.2500 0.2500  4 Tb 3.38, 4 Ce 3.38

Properties
total moment	0.574	μB per formula unit
V	118.4	Å³/cell
electronic total energy	-20.923	eV/cell
space group	F-43m (216)

***

## Pm2YGa2Cu2 (PBE)

Data for an optimized crystal structure of Pm2YGa2Cu2.

Lattice parameters (Å, degrees): 9.7273 9.7273 9.7273 26.14 26.14 26.14
Last column: nearest neighbours and their distance in Å.
Element x y z (fractional)
Pm 0.1231 0.1231 0.1231  3 Ga 3.02, 3 Cu 3.10
Pm 0.8769 0.8769 0.8769  3 Ga 3.02, 3 Cu 3.10
Y 0.0000 0.0000 0.0000  6 Cu 3.05, 6 Ga 3.14
Ga 0.2680 0.2680 0.2680  3 Cu 2.54
Ga 0.7320 0.7320 0.7320  3 Cu 2.54
Cu 0.3932 0.3932 0.3932  3 Ga 2.54
Cu 0.6068 0.6068 0.6068  3 Ga 2.54

Properties
total moment	0.008	μB per formula unit
V	157.4	Å³/cell
electronic total energy	-32.970	eV/cell
space group	R-3m (166)

***

## Tm2ThRu3 (PBE)

Data for an optimized crystal structure of Tm2ThRu3.

Lattice parameters (Å, degrees): 4.8384 4.8384 5.9252 90.00 90.00 120.00
Last column: nearest neighbours and their distance in Å.
Element x y z (fractional)
Tm 0.3333 0.6667 0.1545  8 Ru 2.92-3.00
Tm 0.6667 0.3333 0.8455  8 Ru 2.92-3.00
Th 0.0000 0.0000 0.5000  8 Ru 2.95-2.96
Ru 0.0000 0.0000 0.0000  6 Tm 2.94, 2 Th 2.96
Ru 0.3333 0.6667 0.6613  5 Tm 2.92-3.00, 3 Th 2.95
Ru 0.6667 0.3333 0.3387  5 Tm 2.92-3.00, 3 Th 2.95

Properties
total moment	0.000	μB per formula unit
V	120.1	Å³/cell
electronic total energy	-47.134	eV/cell
space group	P-3m1 (164)